[1]
Below is a geometry-optimized NaTl7Pb4 structure, with properties calculated at the PBE level.

Its formation energy is 68 meV per atom. The calculation puts the total energy at -63.80 eV for the cell shown. The relative energy among the computed polymorphs is 0.078 eV/atom.

a = 12.0683 Å, b = 5.8978 Å, c = 12.4735 Å
α = 90.00°, β = 118.59°, γ = 90.00°
Closest atoms and distances in Å follow each position.
Space group C2/m (No. 12)
Symmetry-distinct sites (fractional):
Na: 0.0000 0.0000 0.0000 [2 per cell]  4 Tl 2.95-3.10
Tl: 0.0000 0.5000 0.0000 [2 per cell]  2 Na 2.95, 2 Tl 3.21
Tl: 0.1124 0.0000 0.4575 [4 per cell]  4 Tl 3.29-3.47, 5 Pb 3.32-3.63
Tl: 0.1634 0.5000 0.6216 [4 per cell]  5 Tl 3.29-3.65, 4 Pb 3.46-3.66
Tl: 0.2136 0.5000 0.9160 [4 per cell]  1 Na 3.10, 2 Tl 3.21-3.42, 4 Pb 3.33-3.44
Pb: 0.0877 0.5000 0.3000 [4 per cell]  7 Tl 3.33-3.66, 1 Pb 3.35
Pb: 0.1799 0.0000 0.7742 [4 per cell]  8 Tl 3.32-3.63, 1 Pb 3.35

=====

[2]
Below is a geometry-optimized Na2Tl5Pb3 structure, with properties calculated at the PBE level.

Its formation energy is -5 meV per atom. The calculation puts the total energy at -25.64 eV for the cell shown. The relative energy among the computed polymorphs is 0.000 eV/atom.

a = 5.3231 Å, b = 6.3312 Å, c = 10.4449 Å
α = 92.85°, β = 90.36°, γ = 114.80°
Closest atoms and distances in Å follow each position.
Space group P-1 (No. 2)
Symmetry-distinct sites (fractional):
Na: 0.0537 0.1117 0.2777 [2 per cell]  5 Tl 3.27-3.66, 1 Pb 3.56
Tl: 0.1716 0.3432 0.9528 [2 per cell]  5 Tl 3.33-3.47, 2 Pb 3.36-3.37, 2 Na 3.45-3.72
Tl: 0.3357 0.6735 0.2417 [2 per cell]  4 Tl 3.20-3.47, 3 Pb 3.23-3.28, 1 Na 3.27
Tl: 0.5000 0.0000 0.5000 [1 per cell]  2 Tl 3.20, 2 Pb 3.38
Pb: 0.2233 0.4467 0.5923 [2 per cell]  3 Tl 3.27-3.38, 2 Pb 3.35-3.37, 1 Na 3.56
Pb: 0.5000 0.0000 0.0000 [1 per cell]  6 Tl 3.23-3.37

=====

[3]
Below is a geometry-optimized Na4Tl5Pb2 structure, with properties calculated at the PBE level.

Its formation energy is -68 meV per atom. The calculation puts the total energy at -25.27 eV for the cell shown. The relative energy among the computed polymorphs is 0.000 eV/atom.

a = 8.5689 Å, b = 3.4336 Å, c = 11.0772 Å
α = 90.00°, β = 93.90°, γ = 90.00°
Closest atoms and distances in Å follow each position.
Space group P2/m (No. 10)
Symmetry-distinct sites (fractional):
Na: 0.1723 0.0000 0.3924 [2 per cell]  2 Pb 3.36, 8 Tl 3.39-3.65, 2 Na 3.43
Na: 0.2838 0.0000 0.9390 [2 per cell]  6 Tl 3.38-3.61, 2 Na 3.43, 4 Pb 3.47-3.49
Tl: 0.1916 0.5000 0.6568 [2 per cell]  1 Pb 3.24, 4 Tl 3.26-3.43, 6 Na 3.39-3.61
Tl: 0.4413 0.5000 0.2025 [2 per cell]  1 Pb 3.27, 4 Tl 3.30-3.43, 6 Na 3.38-3.65
Tl: 0.5000 0.5000 0.5000 [1 per cell]  6 Tl 3.26-3.43, 4 Na 3.43
Pb: 0.0632 0.5000 0.1396 [2 per cell]  3 Pb 3.21-3.43, 2 Tl 3.24-3.27, 6 Na 3.36-3.49

=====

[4]
Below is a geometry-optimized NaTl2Pb6 structure, with properties calculated at the PBE level.

Its formation energy is -23 meV per atom. The calculation puts the total energy at -114.05 eV for the cell shown. The relative energy among the computed polymorphs is 0.000 eV/atom.

a = 12.8777 Å, b = 11.7768 Å, c = 9.1194 Å
α = 90.00°, β = 125.93°, γ = 90.00°
Closest atoms and distances in Å follow each position.
Space group C2/c (No. 15)
Symmetry-distinct sites (fractional):
Na: 0.0000 0.1163 0.2500 [4 per cell]  4 Tl 3.43-3.57, 6 Pb 3.46-3.52
Tl: 0.1625 0.3684 0.4101 [8 per cell]  2 Tl 3.35-3.42, 6 Pb 3.40-3.61, 2 Na 3.43-3.57
Pb: 0.0605 0.3791 0.9721 [8 per cell]  7 Pb 3.37-3.60, 3 Tl 3.40-3.61
Pb: 0.1121 0.1382 0.7022 [8 per cell]  7 Pb 3.36-3.51, 2 Na 3.46-3.49, 1 Tl 3.60
Pb: 0.2187 0.1147 0.1368 [8 per cell]  7 Pb 3.36-3.60, 2 Tl 3.42-3.47, 1 Na 3.52

=====

relative energy among the computed polymorphs of number 1 (NaTl7Pb4)?
0.078 eV/atom

=====

relative energy among the computed polymorphs of number 2 (Na2Tl5Pb3)?
0.000 eV/atom

=====

Which value of relative energy among the computed polymorphs does entry 4 give?
0.000 eV/atom